Record 1
# HgPtBr2 (PBE, optimized geometry)
# Formation energy (no corrections)   0.010 eV/atom
# M_tot   0.00 μB/f.u.
# Distance to the lowest polymorph of the same formula   0.1191 eV/atom
data_HgPtBr2
_cell_length_a 8.287
_cell_length_b 8.287
_cell_length_c 8.287
_cell_angle_alpha 27.74
_cell_angle_beta 27.74
_cell_angle_gamma 27.74
_symmetry_space_group_name_H-M 'P 1'
_symmetry_Int_Tables_number 1
loop_
_symmetry_equiv_pos_as_xyz
'x,y,z'
loop_
_atom_site_label
_atom_site_type_symbol
_atom_site_fract_x
_atom_site_fract_y
_atom_site_fract_z
Br1 Br 0.033 0.033 0.033
Br2 Br 0.226 0.226 0.226
Hg1 Hg 0.488 0.488 0.488
Pt1 Pt 0.753 0.753 0.753

---

Record 2
# HgPtBr2 (PBE, optimized geometry)
# Formation energy (no corrections)   0.335 eV/atom
# M_tot   0.00 μB/f.u.
# Distance to the lowest polymorph of the same formula   0.4435 eV/atom
data_HgPtBr2
_cell_length_a 7.346
_cell_length_b 7.346
_cell_length_c 7.346
_cell_angle_alpha 149.31
_cell_angle_beta 149.31
_cell_angle_gamma 43.96
_symmetry_space_group_name_H-M 'P 1'
_symmetry_Int_Tables_number 1
loop_
_symmetry_equiv_pos_as_xyz
'x,y,z'
loop_
_atom_site_label
_atom_site_type_symbol
_atom_site_fract_x
_atom_site_fract_y
_atom_site_fract_z
Br1 Br 0.000 0.000 0.000
Br2 Br 0.250 0.750 0.500
Hg1 Hg 0.500 0.500 0.000
Pt1 Pt 0.750 0.250 0.500

---

Record 3
# HgPtBr2 (PBE, optimized geometry)
# Formation energy (no corrections)   0.177 eV/atom
# M_tot   0.00 μB/f.u.
# Distance to the lowest polymorph of the same formula   0.2856 eV/atom
data_HgPtBr2
_cell_length_a 3.816
_cell_length_b 3.816
_cell_length_c 7.481
_cell_angle_alpha 90.00
_cell_angle_beta 90.00
_cell_angle_gamma 90.00
_symmetry_space_group_name_H-M 'P 1'
_symmetry_Int_Tables_number 1
loop_
_symmetry_equiv_pos_as_xyz
'x,y,z'
loop_
_atom_site_label
_atom_site_type_symbol
_atom_site_fract_x
_atom_site_fract_y
_atom_site_fract_z
Pt1 Pt 0.500 0.500 0.663
Hg1 Hg 0.000 0.000 0.569
Br1 Br 0.000 0.000 0.936
Br2 Br 0.500 0.500 0.332

---

Record 4
# Hg3PtBr (PBE, optimized geometry)
# Formation energy (no corrections)   -0.080 eV/atom
# M_tot   0.00 μB/f.u.
# Distance to the lowest polymorph of the same formula   0.0000 eV/atom
data_Hg3PtBr
_cell_length_a 5.307
_cell_length_b 5.307
_cell_length_c 5.307
_cell_angle_alpha 90.00
_cell_angle_beta 90.00
_cell_angle_gamma 90.00
_symmetry_space_group_name_H-M 'P 1'
_symmetry_Int_Tables_number 1
loop_
_symmetry_equiv_pos_as_xyz
'x,y,z'
loop_
_atom_site_label
_atom_site_type_symbol
_atom_site_fract_x
_atom_site_fract_y
_atom_site_fract_z
Br1 Br 0.500 0.500 0.500
Hg1 Hg 0.000 0.500 0.000
Hg2 Hg 0.000 0.000 0.500
Hg3 Hg 0.500 0.000 0.000
Pt1 Pt 0.000 0.000 0.000

---

Record 5
# HgPtBr (PBE, optimized geometry)
# Formation energy (no corrections)   -0.021 eV/atom
# M_tot   0.00 μB/f.u.
# Distance to the lowest polymorph of the same formula   0.0782 eV/atom
data_HgPtBr
_cell_length_a 4.004
_cell_length_b 4.948
_cell_length_c 3.858
_cell_angle_alpha 90.00
_cell_angle_beta 90.00
_cell_angle_gamma 90.00
_symmetry_space_group_name_H-M 'P 1'
_symmetry_Int_Tables_number 1
loop_
_symmetry_equiv_pos_as_xyz
'x,y,z'
loop_
_atom_site_label
_atom_site_type_symbol
_atom_site_fract_x
_atom_site_fract_y
_atom_site_fract_z
Br1 Br 0.000 0.000 0.372
Hg1 Hg 0.500 0.500 0.748
Pt1 Pt 0.000 0.500 0.242

---

Record 6
# HgPt2Br8 (PBE, optimized geometry)
# Formation energy (no corrections)   -0.123 eV/atom
# M_tot   0.00 μB/f.u.
data_HgPt2Br8
_cell_length_a 4.662
_cell_length_b 9.679
_cell_length_c 12.261
_cell_angle_alpha 129.53
_cell_angle_beta 90.03
_cell_angle_gamma 88.31
_symmetry_space_group_name_H-M 'P 1'
_symmetry_Int_Tables_number 1
loop_
_symmetry_equiv_pos_as_xyz
'x,y,z'
loop_
_atom_site_label
_atom_site_type_symbol
_atom_site_fract_x
_atom_site_fract_y
_atom_site_fract_z
Hg1 Hg 0.000 0.000 0.000
Pt1 Pt 0.350 0.181 0.591
Pt2 Pt 0.650 0.819 0.409
Br1 Br 0.158 0.698 0.347
Br2 Br 0.842 0.302 0.652
Br3 Br 0.658 0.814 0.210
Br4 Br 0.341 0.189 0.399
Br5 Br 0.344 0.744 0.871
Br6 Br 0.342 0.186 0.790
Br7 Br 0.659 0.811 0.601
Br8 Br 0.656 0.256 0.129